Material: BiPb3Br3
Method: DFT, PBE
State: optimized geometry

The formation energy from raw total energies comes out at -53.0 kJ/mol of atoms. Its space-group type is No. 11. The volume comes out at 39.2 Å³/atom.

Geometry as POSCAR:
```
BiPb3Br3
1.0
-1.7034 4.2952 -0.2843
-8.4937 -3.4275 -0.8917
-0.6659 0.5886 12.8838
Bi Pb Br
2 6 6
Direct
0.2500 0.8632 0.3677 Bi
0.7500 0.1368 0.6323 Bi
0.2500 0.3776 0.6334 Pb
0.7500 0.6224 0.3666 Pb
0.2500 0.8951 0.6177 Pb
0.7500 0.1049 0.3823 Pb
0.2500 0.8402 0.1185 Pb
0.7500 0.1598 0.8815 Pb
0.2500 0.3636 0.3917 Br
0.7500 0.6364 0.6083 Br
0.2500 0.9321 0.8729 Br
0.7500 0.0679 0.1271 Br
0.2500 0.3826 0.8730 Br
0.7500 0.6174 0.1270 Br
```

***

Material: Bi3PbBr
Method: DFT, PBE
State: optimized geometry

The formation energy from raw total energies comes out at 59.1 kJ/mol of atoms. Its space-group type is No. 221. The volume comes out at 37.5 Å³/atom. As for the energy relative to the lowest polymorph listed for this composition: 0 meV per atom.

Geometry as POSCAR:
```
Bi3PbBr
1.0
-0.5564 5.5289 -1.3665
-2.7653 -1.4625 -4.7916
-4.9789 0.1945 2.8140
Pb Bi Br
1 3 1
Direct
0.5000 0.5000 0.5000 Pb
0.0000 0.5000 0.0000 Bi
0.0000 0.0000 0.5000 Bi
0.5000 0.0000 0.0000 Bi
0.0000 0.0000 0.0000 Br
```

***

Material: BiPbBr6
Method: DFT, PBE
State: optimized geometry

The formation energy from raw total energies comes out at -58.3 kJ/mol of atoms. Its space-group type is No. 148. The volume comes out at 36.2 Å³/atom.

Geometry as POSCAR:
```
BiPbBr6
1.0
-0.0628 -7.1009 -0.6839
5.3616 -3.3087 -3.3453
4.9730 -4.0499 4.3666
Bi Pb Br
1 1 6
Direct
0.0000 0.0000 0.0000 Bi
0.5000 0.5000 0.5000 Pb
0.0743 0.4214 0.7528 Br
0.7514 0.0743 0.7528 Br
0.5786 0.2485 0.2472 Br
0.2486 0.9257 0.2472 Br
0.9257 0.5786 0.2472 Br
0.4214 0.7515 0.7528 Br
```

***

Material: BiPb2Br
Method: DFT, PBE
State: optimized geometry

The formation energy from raw total energies comes out at -27.4 kJ/mol of atoms. Its space-group type is No. 166. The volume comes out at 35.6 Å³/atom. As for the energy relative to the lowest polymorph listed for this composition: 0 meV per atom.

Geometry as POSCAR:
```
BiPb2Br
1.0
-0.0807 -1.8382 -4.3219
1.5867 -4.3609 -0.7275
-6.3184 -4.7602 -0.4101
Pb Bi Br
2 1 1
Direct
0.2561 0.2561 0.2318 Pb
0.7439 0.7439 0.7682 Pb
0.0000 0.0000 0.0000 Bi
0.5000 0.5000 0.5000 Br
```

***

Material: Bi2Pb2Br
Method: DFT, PBE
State: optimized geometry

The formation energy from raw total energies comes out at -5.6 kJ/mol of atoms. Its space-group type is No. 139. The volume comes out at 36.4 Å³/atom. As for the energy relative to the lowest polymorph listed for this composition: 116 meV per atom.

Geometry as POSCAR:
```
Bi2Pb2Br
1.0
5.1424 0.0000 0.0000
0.0000 5.1424 0.0000
2.5712 2.5712 6.8913
Pb Bi Br
2 2 1
Direct
0.7500 0.2500 0.5000 Pb
0.2500 0.7500 0.5000 Pb
0.3839 0.3839 0.2322 Bi
0.6161 0.6161 0.7678 Bi
0.0000 0.0000 0.0000 Br
```

***

Material: BiPb2Br
Method: DFT, PBE
State: optimized geometry

The formation energy from raw total energies comes out at -21.6 kJ/mol of atoms. Its space-group type is No. 225. The volume comes out at 30.8 Å³/atom. As for the energy relative to the lowest polymorph listed for this composition: 60 meV per atom.

Geometry as POSCAR:
```
BiPb2Br
1.0
-3.9959 -1.3815 3.6450
-4.5395 -2.7425 -1.7415
-0.7505 -5.3446 1.4261
Pb Bi Br
2 1 1
Direct
0.2500 0.2500 0.2500 Pb
0.7500 0.7500 0.7500 Pb
0.5000 0.5000 0.5000 Bi
0.0000 0.0000 0.0000 Br
```

***

Material: BiPbBr5
Method: DFT, PBE
State: optimized geometry

The formation energy from raw total energies comes out at -73.9 kJ/mol of atoms. Its space-group type is No. 11. The volume comes out at 37.0 Å³/atom.

Geometry as POSCAR:
```
BiPbBr5
1.0
-0.4792 0.0438 -4.3086
-1.0826 -8.4032 0.0350
-13.7661 2.7670 1.5591
Bi Pb Br
2 2 10
Direct
0.2500 0.4109 0.3512 Bi
0.7500 0.5891 0.6488 Bi
0.7500 0.0866 0.1395 Pb
0.2500 0.9134 0.8605 Pb
0.2500 0.0703 0.3164 Br
0.7500 0.1504 0.9316 Br
0.7500 0.3147 0.4841 Br
0.2500 0.3557 0.1405 Br
0.2500 0.3831 0.7036 Br
0.7500 0.6169 0.2964 Br
0.7500 0.6443 0.8595 Br
0.2500 0.6853 0.5159 Br
0.2500 0.8496 0.0684 Br
0.7500 0.9297 0.6836 Br
```

***

Material: RbBiPb2Br8
Method: DFT, PBE
State: optimized geometry

The formation energy from raw total energies comes out at -94.3 kJ/mol of atoms. Its space-group type is No. 2. The volume comes out at 39.8 Å³/atom.

Geometry as POSCAR:
```
RbBiPb2Br8
1.0
7.3097 0.0301 -0.0039
0.0829 6.9820 -0.0043
0.0077 0.0154 9.3675
Rb Bi Pb Br
1 1 2 8
Direct
0.0000 0.0000 0.5000 Rb
0.0000 0.0000 0.0000 Bi
0.5001 0.4999 0.7496 Pb
0.4999 0.5001 0.2504 Pb
0.1561 0.7525 0.2166 Br
0.6741 0.7604 0.9999 Br
0.8432 0.2469 0.2163 Br
0.8439 0.2475 0.7834 Br
0.3259 0.2396 0.0001 Br
0.1568 0.7531 0.7837 Br
0.6226 0.7298 0.4998 Br
0.3774 0.2702 0.5002 Br
```

***

Material: ReBiPb2Br
Method: DFT, PBE
State: optimized geometry

The formation energy from raw total energies comes out at 157.1 kJ/mol of atoms. Its space-group type is No. 123. The volume comes out at 35.0 Å³/atom.

Geometry as POSCAR:
```
ReBiPb2Br
1.0
5.5941 0.0000 0.0000
0.0000 5.5971 0.0000
0.0000 0.0000 5.5941
Pb Re Bi Br
2 1 1 1
Direct
0.0000 0.0000 0.5000 Pb
0.5000 0.0000 0.0000 Pb
0.5000 0.5000 0.5000 Re
0.0000 0.5000 0.0000 Bi
0.0000 0.0000 0.0000 Br
```

***

Material: BiRhPb2Br
Method: DFT, PBE
State: optimized geometry

The formation energy from raw total energies comes out at 101.5 kJ/mol of atoms. Its space-group type is No. 123. The volume comes out at 41.0 Å³/atom.

Geometry as POSCAR:
```
BiRhPb2Br
1.0
6.0728 0.0000 0.0000
0.0000 5.5559 0.0000
0.0000 0.0000 6.0728
Pb Rh Bi Br
2 1 1 1
Direct
0.0000 0.0000 0.5000 Pb
0.5000 0.0000 0.0000 Pb
0.5000 0.5000 0.5000 Rh
0.0000 0.0000 0.0000 Bi
0.0000 0.5000 0.0000 Br
```

***

Material: BiPbSeBr2
Method: DFT, PBE
State: optimized geometry

The formation energy from raw total energies comes out at -11.3 kJ/mol of atoms. Its space-group type is No. 123. The volume comes out at 37.0 Å³/atom. As for the energy relative to the lowest polymorph listed for this composition: 0 meV per atom.

Geometry as POSCAR:
```
BiPbSeBr2
1.0
-3.8984 -2.2612 3.4535
-1.2946 -3.8408 -3.9761
3.9644 -3.5576 2.1458
Pb Se Bi Br
1 1 1 2
Direct
0.5000 0.5000 0.5000 Pb
0.0000 0.0000 0.5000 Se
0.0000 0.0000 0.0000 Bi
0.0000 0.5000 0.0000 Br
0.5000 0.0000 0.0000 Br
```

***

Material: Sr4BiPbBr2
Method: DFT, PBE
State: optimized geometry

The formation energy from raw total energies comes out at -111.6 kJ/mol of atoms. Its space-group type is No. 10. The volume comes out at 38.6 Å³/atom.

Geometry as POSCAR:
```
Sr4BiPbBr2
1.0
4.6771 0.0000 0.0000
0.0000 8.3220 -0.1247
0.0000 2.9713 7.8904
Sr Bi Pb Br
4 1 1 2
Direct
0.0000 0.7324 0.7498 Sr
0.0000 0.2676 0.2502 Sr
0.5000 0.7386 0.2466 Sr
0.5000 0.2614 0.7534 Sr
0.5000 0.5000 0.0000 Bi
0.0000 0.5000 0.5000 Pb
0.0000 0.0000 0.0000 Br
0.5000 0.0000 0.5000 Br
```